#w
Here is a geometry-optimized TlReRu2 structure from Alexandria via LeMat-Bulk. Energies are from PBE.

The magnetic moment is 0.00 μB/atom.

The space group is R-3m (No. 166, hexagonal axes) and the conventional cell measures 2.8772, 2.8772 and 27.3148 Å, with angles of 90.00, 90.00 and 120.00 degrees. The asymmetric unit holds Tl at (0.0000, 0.0000, 0.0000), Re at (0.0000, 0.0000, 0.5000) and Ru at (0.0000, 0.0000, 0.2430).


#x
Here is a geometry-optimized TlReRu2 structure from Alexandria via LeMat-Bulk. Energies are from PBE.

The magnetic moment is 0.00 μB/atom.

The space group is I-42d (No. 122) and the conventional cell measures 7.268, 7.268 and 5.654 Å, with angles of 90.00, 90.00 and 90.00 degrees. The asymmetric unit holds Tl at (0.000, 0.000, 0.000), Re at (0.000, 0.000, 0.500) and Ru at (0.194, 0.750, 0.625).


#y
Here is a geometry-optimized TlReRu2 structure from Alexandria via LeMat-Bulk. Energies are from PBE.

The magnetic moment is 0.00 μB/atom.

The space group is Pmm2 (No. 25) and the conventional cell measures 2.832, 4.027 and 5.766 Å, with angles of 90.00, 90.00 and 90.00 degrees. The asymmetric unit holds Tl at (0.000, 0.000, 0.000), Re at (0.500, 0.500, 0.314), Ru at (0.000, 0.000, 0.494) and Ru at (0.500, 0.500, 0.743).


#z
Here is a geometry-optimized TlReRu2 structure from Alexandria via LeMat-Bulk. Energies are from PBE.

The magnetic moment is 0.23 μB/atom.

The space group is I4/mmm (No. 139) and the conventional cell measures 4.110, 4.110 and 7.571 Å, with angles of 90.00, 90.00 and 90.00 degrees. The asymmetric unit holds Tl at (0.000, 0.000, 0.000), Re at (0.000, 0.000, 0.500) and Ru at (0.000, 0.500, 0.250).


Energies in eV/atom, measured from the most stable structure: #w 0.000; #x 0.448; #y 0.141; #z 0.192.


#w
Here is a geometry-optimized TlReRu2 structure from Alexandria via LeMat-Bulk. Energies are from PBE.

The magnetic moment is 0.00 μB/atom.

The space group is Pmmm (No. 47) and the conventional cell measures 2.853, 3.729 and 6.136 Å, with angles of 90.00, 90.00 and 90.00 degrees. The asymmetric unit holds Tl at (0.000, 0.000, 0.000), Re at (0.000, 0.000, 0.500) and Ru at (0.500, 0.500, 0.283).


#x
Here is a geometry-optimized TlReRu2 structure from Alexandria via LeMat-Bulk. Energies are from PBE.

The magnetic moment is 0.00 μB/atom.

The space group is Pmmm (No. 47) and the conventional cell measures 2.971, 4.562 and 4.802 Å, with angles of 90.00, 90.00 and 90.00 degrees. The asymmetric unit holds Tl at (0.000, 0.000, 0.000), Re at (0.500, 0.000, 0.500), Ru at (0.000, 0.500, 0.500) and Ru at (0.500, 0.500, 0.000).


#y
Here is a geometry-optimized TlReRu2 structure from Alexandria via LeMat-Bulk. Energies are from PBE.

The magnetic moment is 0.00 μB/atom.

The space group is Cmmm (No. 65) and the conventional cell measures 5.803, 7.622 and 2.893 Å, with angles of 90.00, 90.00 and 90.00 degrees. The asymmetric unit holds Tl at (0.000, 0.000, 0.000), Re at (0.000, 0.500, 0.000) and Ru at (0.250, 0.250, 0.500).


Energies in eV/atom, measured from the most stable structure: #w 0.000; #x 0.449; #y 0.215.


#w
Here is a geometry-optimized TlReRu2 structure from Alexandria via LeMat-Bulk. Energies are from PBE.

The magnetic moment is 0.19 μB/atom.

The space group is Cmm2 (No. 35) and the conventional cell measures 2.904, 4.866 and 9.461 Å, with angles of 90.00, 90.00 and 90.00 degrees. The asymmetric unit holds Tl at (0.000, 0.000, 0.000), Re at (0.000, 0.500, 0.279), Ru at (0.000, 0.000, 0.504) and Ru at (0.000, 0.500, 0.739).


#x
Here is a geometry-optimized TlReRu2 structure from Alexandria via LeMat-Bulk. Energies are from PBE.

The magnetic moment is 0.00 μB/atom.

The space group is P4/mmm (No. 123) and the conventional cell measures 4.636, 4.636 and 3.002 Å, with angles of 90.00, 90.00 and 90.00 degrees. The asymmetric unit holds Tl at (0.000, 0.000, 0.000), Re at (0.500, 0.500, 0.000) and Ru at (0.000, 0.500, 0.500).


#y
Here is a geometry-optimized TlReRu2 structure from Alexandria via LeMat-Bulk. Energies are from PBE.

The magnetic moment is 0.00 μB/atom.

The space group is I-4m2 (No. 119) and the conventional cell measures 3.866, 3.866 and 8.543 Å, with angles of 90.00, 90.00 and 90.00 degrees. The asymmetric unit holds Tl at (0.000, 0.000, 0.000), Re at (0.000, 0.500, 0.750), Ru at (0.000, 0.000, 0.500) and Ru at (0.000, 0.500, 0.250).


Energies in eV/atom, measured from the most stable structure: #w 0.156; #x 0.038; #y 0.000.


#w
Here is a geometry-optimized UReRu structure from Alexandria via LeMat-Bulk. Energies are from PBE.

The magnetic moment is 0.07 μB/atom.

The space group is P3m1 (No. 156) and the conventional cell measures 2.8079, 2.8079 and 7.3811 Å, with angles of 90.00, 90.00 and 120.00 degrees. The asymmetric unit holds U at (0.0000, 0.0000, 0.0000), Re at (0.6667, 0.3333, 0.3674) and Ru at (0.3333, 0.6667, 0.6486).


#x
Here is a geometry-optimized UReRu structure from Alexandria via LeMat-Bulk. Energies are from PBE.

The magnetic moment is 0.32 μB/atom.

The space group is I4mm (No. 107) and the conventional cell measures 2.873, 2.873 and 12.471 Å, with angles of 90.00, 90.00 and 90.00 degrees. The asymmetric unit holds U at (0.000, 0.000, 0.000), Re at (0.000, 0.000, 0.686) and Ru at (0.000, 0.000, 0.317).


Energies in eV/atom, measured from the most stable structure: #w 0.111; #x 0.000.


#w
Here is a geometry-optimized V2ReRu structure from Alexandria via LeMat-Bulk. Energies are from PBE.

The magnetic moment is 0.00 μB/atom.

The space group is I-42d (No. 122) and the conventional cell measures 6.806, 6.806 and 5.182 Å, with angles of 90.00, 90.00 and 90.00 degrees. The asymmetric unit holds V at (0.243, 0.750, 0.125), Re at (0.000, 0.000, 0.500) and Ru at (0.000, 0.000, 0.000).


#x
Here is a geometry-optimized V2ReRu structure from Alexandria via LeMat-Bulk. Energies are from PBE.

The magnetic moment is 0.00 μB/atom.

The space group is P4/mmm (No. 123) and the conventional cell measures 3.023, 3.023 and 6.060 Å, with angles of 90.00, 90.00 and 90.00 degrees. The asymmetric unit holds V at (0.000, 0.000, 0.246), Re at (0.500, 0.500, 0.000) and Ru at (0.500, 0.500, 0.500).


#y
Here is a geometry-optimized V2ReRu structure from Alexandria via LeMat-Bulk. Energies are from PBE.

The magnetic moment is 0.00 μB/atom.

The space group is Fm-3m (No. 225) and the conventional cell measures 6.053, 6.053 and 6.053 Å, with angles of 90.00, 90.00 and 90.00 degrees. The asymmetric unit holds V at (0.250, 0.250, 0.250), Re at (0.000, 0.000, 0.000) and Ru at (0.000, 0.000, 0.500).


Energies in eV/atom, measured from the most stable structure: #w 0.815; #x 0.000; #y 0.022.


#w
Here is a geometry-optimized VReRu2 structure from Alexandria via LeMat-Bulk. Energies are from PBE.

The magnetic moment is 0.00 μB/atom.

The space group is I-42d (No. 122) and the conventional cell measures 3.781, 3.781 and 17.283 Å, with angles of 90.00, 90.00 and 90.00 degrees. The asymmetric unit holds V at (0.000, 0.000, 0.000), Re at (0.000, 0.000, 0.500) and Ru at (0.233, 0.250, 0.125).


#x
Here is a geometry-optimized VReRu2 structure from Alexandria via LeMat-Bulk. Energies are from PBE.

The magnetic moment is 0.00 μB/atom.

The space group is P4/mmm (No. 123) and the conventional cell measures 3.845, 3.845 and 3.815 Å, with angles of 90.00, 90.00 and 90.00 degrees. The asymmetric unit holds V at (0.000, 0.000, 0.000), Re at (0.500, 0.500, 0.000) and Ru at (0.000, 0.500, 0.500).


Energies in eV/atom, measured from the most stable structure: #w 0.654; #x 0.000.


#w
Here is a geometry-optimized V4Re2Ru structure from Alexandria via LeMat-Bulk. Energies are from PBE.

The magnetic moment is 0.00 μB/atom.

The space group is I4/mmm (No. 139) and the conventional cell measures 5.967, 5.967 and 6.006 Å, with angles of 90.00, 90.00 and 90.00 degrees. The asymmetric unit holds V at (0.250, 0.250, 0.250), Re at (0.000, 0.500, 0.000) and Ru at (0.000, 0.000, 0.000).


#x
Here is a geometry-optimized V4Re2Ru structure from Alexandria via LeMat-Bulk. Energies are from PBE.

The magnetic moment is 0.13 μB/atom.

The space group is I4/mmm (No. 139) and the conventional cell measures 4.440, 4.440 and 12.396 Å, with angles of 90.00, 90.00 and 90.00 degrees. The asymmetric unit holds V at (0.000, 0.000, 0.196), V at (0.000, 0.500, 0.000), Re at (0.000, 0.000, 0.383) and Ru at (0.000, 0.000, 0.000).


Energies in eV/atom, measured from the most stable structure: #w 0.000; #x 1.081.


#w
Here is a geometry-optimized V4ReRu structure from Alexandria via LeMat-Bulk. Energies are from PBE.

The magnetic moment is 0.00 μB/atom.

The space group is Cmmm (No. 65) and the conventional cell measures 4.253, 9.070 and 4.243 Å, with angles of 90.00, 90.00 and 90.00 degrees. The asymmetric unit holds V at (0.000, 0.168, 0.000), V at (0.000, 0.332, 0.500), Re at (0.000, 0.000, 0.500) and Ru at (0.000, 0.500, 0.000).


#x
Here is a geometry-optimized V4ReRu structure from Alexandria via LeMat-Bulk. Energies are from PBE.

The magnetic moment is 0.00 μB/atom.

The space group is C2/m (No. 12) and the conventional cell measures 7.174, 4.135 and 7.090 Å, with angles of 90.00, 109.54 and 90.00 degrees. The asymmetric unit holds V at (0.125, 0.000, 0.374), V at (0.127, 0.500, 0.879), Re at (0.000, 0.500, 0.500) and Ru at (0.000, 0.000, 0.000).


Energies in eV/atom, measured from the most stable structure: #w 0.000; #x 0.749.


#w
Here is a geometry-optimized V2ReRu2 structure from Alexandria via LeMat-Bulk. Energies are from PBE.

The magnetic moment is 0.00 μB/atom.

The space group is P4/mbm (No. 127) and the conventional cell measures 7.132, 7.132 and 2.804 Å, with angles of 90.00, 90.00 and 90.00 degrees. The asymmetric unit holds V at (0.166, 0.334, 0.000), Re at (0.000, 0.000, 0.500) and Ru at (0.135, 0.635, 0.500).


#x
Here is a geometry-optimized V2ReRu2 structure from Alexandria via LeMat-Bulk. Energies are from PBE.

The magnetic moment is 0.00 μB/atom.

The space group is P4/mbm (No. 127) and the conventional cell measures 7.088, 7.088 and 2.822 Å, with angles of 90.00, 90.00 and 90.00 degrees. The asymmetric unit holds V at (0.151, 0.349, 0.000), Re at (0.000, 0.000, 0.000) and Ru at (0.150, 0.650, 0.500).


Energies in eV/atom, measured from the most stable structure: #w 0.043; #x 0.000.


#w
Here is a geometry-optimized ReRuW2 structure from Alexandria via LeMat-Bulk. Energies are from PBE.

The magnetic moment is 0.00 μB/atom.

The space group is Cm (No. 8) and the conventional cell measures 9.318, 2.783 and 4.816 Å, with angles of 90.00, 99.52 and 90.00 degrees. The asymmetric unit holds Re at (0.000, 0.000, 0.000), Ru at (0.262, 0.000, 0.754), W at (0.017, 0.500, 0.515) and W at (0.256, 0.500, 0.244).


#x
Here is a geometry-optimized ReRuW2 structure from Alexandria via LeMat-Bulk. Energies are from PBE.

The magnetic moment is 0.00 μB/atom.

The space group is R-3m (No. 166, hexagonal axes) and the conventional cell measures 2.7789, 2.7789 and 27.6676 Å, with angles of 90.00, 90.00 and 120.00 degrees. The asymmetric unit holds Re at (0.0000, 0.0000, 0.0000), Ru at (0.0000, 0.0000, 0.5000) and W at (0.0000, 0.0000, 0.2484).


Energies in eV/atom, measured from the most stable structure: #w 0.000; #x 0.102.


#w
Here is a geometry-optimized ReRuW2 structure from Alexandria via LeMat-Bulk. Energies are from PBE.

The magnetic moment is 0.00 μB/atom.

The space group is Pmmm (No. 47) and the conventional cell measures 2.799, 3.915 and 5.609 Å, with angles of 90.00, 90.00 and 90.00 degrees. The asymmetric unit holds Re at (0.000, 0.000, 0.000), Ru at (0.000, 0.000, 0.500) and W at (0.500, 0.500, 0.252).


#x
Here is a geometry-optimized ReRuW2 structure from Alexandria via LeMat-Bulk. Energies are from PBE.

The magnetic moment is 0.00 μB/atom.

The space group is Cmmm (No. 65) and the conventional cell measures 3.152, 4.480 and 8.722 Å, with angles of 90.00, 90.00 and 90.00 degrees. The asymmetric unit holds Re at (0.000, 0.000, 0.000), Ru at (0.000, 0.000, 0.500) and W at (0.000, 0.500, 0.253).


#y
Here is a geometry-optimized ReRuW2 structure from Alexandria via LeMat-Bulk. Energies are from PBE.

The magnetic moment is 0.00 μB/atom.

The space group is I-4m2 (No. 119) and the conventional cell measures 3.916, 3.916 and 8.036 Å, with angles of 90.00, 90.00 and 90.00 degrees. The asymmetric unit holds Re at (0.000, 0.000, 0.000), Ru at (0.000, 0.500, 0.750), W at (0.000, 0.000, 0.500) and W at (0.000, 0.500, 0.250).


#z
Here is a geometry-optimized ReRuW2 structure from Alexandria via LeMat-Bulk. Energies are from PBE.

The magnetic moment is 0.00 μB/atom.

The space group is P4/mmm (No. 123) and the conventional cell measures 3.210, 3.210 and 5.994 Å, with angles of 90.00, 90.00 and 90.00 degrees. The asymmetric unit holds Re at (0.000, 0.000, 0.000), Ru at (0.000, 0.000, 0.500) and W at (0.500, 0.500, 0.248).


Energies in eV/atom, measured from the most stable structure: #w 0.000; #x 0.043; #y 0.037; #z 0.085.